A relaxed NaGeF3 crystal. Source: Alexandria via LeMat-Bulk, functional PBE.

a b c (Å): 8.7164 8.7164 8.7164
angles (deg): 109.49 109.49 109.49
Atoms (fractional coordinates):
Ge 0.5246 0.6762 0.8211
Ge 0.4754 0.3238 0.1789
Ge 0.6762 0.8211 0.5246
Ge 0.3238 0.1789 0.4754
Ge 0.8211 0.5246 0.6762
Ge 0.1789 0.4754 0.3238
Na 0.8909 0.6938 0.1968
Na 0.1091 0.3062 0.8032
Na 0.8032 0.1091 0.3062
Na 0.3062 0.8032 0.1091
Na 0.6938 0.1968 0.8909
Na 0.1968 0.8909 0.6938
F 0.9065 0.3567 0.5993
F 0.8269 0.0688 0.7317
F 0.7317 0.8269 0.0688
F 0.1217 0.1731 0.5136
F 0.9312 0.2683 0.1731
F 0.1731 0.5136 0.1217
F 0.8783 0.8269 0.4864
F 0.6433 0.4007 0.0935
F 0.0688 0.7317 0.8269
F 0.3567 0.5993 0.9065
F 0.4864 0.8783 0.8269
F 0.5136 0.1217 0.1731
F 0.8269 0.4864 0.8783
F 0.5993 0.9065 0.3567
F 0.1731 0.9312 0.2683
F 0.0935 0.6433 0.4007
F 0.2683 0.1731 0.9312
F 0.4007 0.0935 0.6433

Properties
E_form (uncorrected) (eV per formula unit): -12.19
Total magnetization (μB per formula unit): 0.0
E (eV/atom): -4.75
Energy above the most stable polymorph in this dataset (eV per atom): 0.000

---

A relaxed KFe2P crystal. Source: Alexandria via LeMat-Bulk, functional PBE.

a b c (Å): 3.7773 3.1387 6.7698
angles (deg): 82.91 90.00 90.00
Atoms (fractional coordinates):
K 0.0000 0.4677 0.5262
Fe 0.0000 0.8326 0.0417
Fe 0.5000 0.3185 0.0838
P 0.5000 0.8813 0.8484

Properties
Total magnetization (μB per formula unit): 4.1
E (eV/atom): -5.73
E_form (eV per atom): 0.124

---

A relaxed Pm6ErTm2 crystal. Source: Alexandria via LeMat-Bulk, functional PBE.

a b c (Å): 3.6464 9.9381 9.9381
angles (deg): 56.04 90.00 90.00
Atoms (fractional coordinates):
Pm 0.0000 0.8417 0.4888
Pm 0.5000 0.3155 0.6845
Pm 0.0000 0.1583 0.5112
Pm 0.0000 0.4888 0.8417
Pm 0.0000 0.5112 0.1583
Pm 0.5000 0.6845 0.3155
Tm 0.5000 0.8227 0.8227
Tm 0.5000 0.1773 0.1773
Er 0.0000 0.0000 0.0000

Properties
Total magnetization (μB per formula unit): 0.0
E (eV/atom): -4.54
E_form (eV per atom): 0.130
Energy above the most stable polymorph in this dataset (eV per atom): 0.045